[1]
This record from the Alexandria database describes an optimized crystal structure of Cs6PtI. The functional is PBE.

Computed properties:
Uncorrected formation energy ... -367 meV per atom
Space-group type ... No. 12
Size of the total moment ... 0.0 μB/cell

Cell: 15.9477 10.5618 9.0969 Å, 90.00 121.65 90.00°
Last column: nearest neighbours and their distance in Å.
Positions (direct):
Cs: 0.0714 0.2284 0.3014  1 Pt 3.37
Cs: 0.0714 0.7716 0.3014  1 Pt 3.37
Cs: 0.2324 0.0000 0.0536  1 Pt 3.48
Cs: 0.2676 0.5000 0.9464  1 Pt 3.48
Cs: 0.4286 0.2716 0.6986  1 Pt 3.37
Cs: 0.4286 0.7284 0.6986  1 Pt 3.37
Cs: 0.5714 0.2716 0.3014  1 Pt 3.37
Cs: 0.5714 0.7284 0.3014  1 Pt 3.37
Cs: 0.7324 0.5000 0.0536  1 Pt 3.48
Cs: 0.7676 0.0000 0.9464  1 Pt 3.48
Cs: 0.9286 0.2284 0.6986  1 Pt 3.37
Cs: 0.9286 0.7716 0.6986  1 Pt 3.37
Pt: 0.0000 0.0000 0.0000  6 Cs 3.37-3.48
Pt: 0.5000 0.5000 0.0000  6 Cs 3.37-3.48
I: 0.0000 0.5000 0.5000  6 Cs 3.87-4.06
I: 0.5000 0.0000 0.5000  6 Cs 3.87-4.06

[2]
This record from the Alexandria database describes an optimized crystal structure of CsPtI3. The functional is PBE.

Computed properties:
Uncorrected formation energy ... -536 meV per atom
Space-group type ... No. 14
Size of the total moment ... 0.0 μB/cell

Cell: 10.8017 7.5652 15.1670 Å, 90.00 134.09 90.00°
Last column: nearest neighbours and their distance in Å.
Positions (direct):
Cs: 0.2402 0.2168 0.0866  8 I 3.82-4.20
Cs: 0.2402 0.2832 0.5866  8 I 3.82-4.20
Cs: 0.7598 0.7168 0.4134  8 I 3.82-4.20
Cs: 0.7598 0.7832 0.9134  8 I 3.82-4.20
Pt: 0.3686 0.5849 0.4151  1 Pt 2.48, 3 I 2.69-2.72
Pt: 0.3686 0.9151 0.9151  1 Pt 2.48, 3 I 2.69-2.72
Pt: 0.6314 0.0849 0.0849  1 Pt 2.48, 3 I 2.69-2.72
Pt: 0.6314 0.4151 0.5849  1 Pt 2.48, 3 I 2.69-2.72
I: 0.0980 0.7108 0.3721  1 Pt 2.69
I: 0.0980 0.7892 0.8721  1 Pt 2.69
I: 0.2536 0.7048 0.1996  1 Pt 2.72
I: 0.2536 0.7952 0.6996  1 Pt 2.72
I: 0.3590 0.2173 0.4031  2 Pt 2.69-2.78
I: 0.3590 0.2827 0.9031  2 Pt 2.69-2.78
I: 0.6410 0.7173 0.0969  2 Pt 2.69-2.78
I: 0.6410 0.7827 0.5969  2 Pt 2.69-2.78
I: 0.7464 0.2048 0.3004  1 Pt 2.72
I: 0.7464 0.2952 0.8004  1 Pt 2.72
I: 0.9020 0.2108 0.1279  1 Pt 2.69
I: 0.9020 0.2892 0.6279  1 Pt 2.69

[3]
This record from the Alexandria database describes an optimized crystal structure of CsPt2I. The functional is PBE.

Computed properties:
Uncorrected formation energy ... 822 meV per atom
Polymorph energy (0 for the lowest one) ... 821.6 meV per atom
Space-group type ... No. 225
Size of the total moment ... 0.0 μB/cell

Cell: 7.4185 7.4185 7.4185 Å, 90.00 90.00 90.00°
Last column: nearest neighbours and their distance in Å.
Positions (direct):
Cs: 0.0000 0.0000 0.0000  8 Pt 3.21
Cs: 0.0000 0.5000 0.5000  8 Pt 3.21
Cs: 0.5000 0.0000 0.5000  8 Pt 3.21
Cs: 0.5000 0.5000 0.0000  8 Pt 3.21
Pt: 0.2500 0.2500 0.2500  4 I 3.21, 4 Cs 3.21
Pt: 0.2500 0.2500 0.7500  4 Cs 3.21, 4 I 3.21
Pt: 0.2500 0.7500 0.2500  4 Cs 3.21, 4 I 3.21
Pt: 0.2500 0.7500 0.7500  4 I 3.21, 4 Cs 3.21
Pt: 0.7500 0.2500 0.2500  4 Cs 3.21, 4 I 3.21
Pt: 0.7500 0.2500 0.7500  4 I 3.21, 4 Cs 3.21
Pt: 0.7500 0.7500 0.2500  4 I 3.21, 4 Cs 3.21
Pt: 0.7500 0.7500 0.7500  4 Cs 3.21, 4 I 3.21
I: 0.0000 0.0000 0.5000  8 Pt 3.21
I: 0.0000 0.5000 0.0000  8 Pt 3.21
I: 0.5000 0.0000 0.0000  8 Pt 3.21
I: 0.5000 0.5000 0.5000  8 Pt 3.21

[4]
This record from the Alexandria database describes an optimized crystal structure of Cs3Pt5I12. The functional is PBE.

Computed properties:
Uncorrected formation energy ... -346 meV per atom
Space-group type ... No. 230
Size of the total moment ... 0.0 μB/cell

Cell: 16.0544 16.0544 16.0544 Å, 109.47 109.47 109.47°
Last column: nearest neighbours and their distance in Å.
Positions (direct):
Cs: 0.1250 0.2500 0.3750  8 I 3.77-3.92
Cs: 0.1250 0.3750 0.7500  8 I 3.77-3.92
Cs: 0.2500 0.3750 0.1250  8 I 3.77-3.92
Cs: 0.2500 0.8750 0.6250  8 I 3.77-3.92
Cs: 0.3750 0.1250 0.2500  8 I 3.77-3.92
Cs: 0.3750 0.7500 0.1250  8 I 3.77-3.92
Cs: 0.6250 0.2500 0.8750  8 I 3.77-3.92
Cs: 0.6250 0.8750 0.7500  8 I 3.77-3.92
Cs: 0.7500 0.1250 0.3750  8 I 3.77-3.92
Cs: 0.7500 0.6250 0.8750  8 I 3.77-3.92
Cs: 0.8750 0.6250 0.2500  8 I 3.77-3.92
Cs: 0.8750 0.7500 0.6250  8 I 3.77-3.92
Pt: 0.0000 0.0000 0.0000  6 I 2.81
Pt: 0.0000 0.0000 0.5000  6 I 2.81
Pt: 0.0000 0.5000 0.0000  6 I 2.81
Pt: 0.0000 0.5000 0.5000  6 I 2.81
Pt: 0.1250 0.7500 0.8750  4 I 2.70
Pt: 0.1250 0.8750 0.2500  4 I 2.70
Pt: 0.2500 0.1250 0.8750  4 I 2.70
Pt: 0.2500 0.6250 0.3750  4 I 2.70
Pt: 0.3750 0.2500 0.6250  4 I 2.70
Pt: 0.3750 0.6250 0.7500  4 I 2.70
Pt: 0.5000 0.0000 0.0000  6 I 2.81
Pt: 0.5000 0.0000 0.5000  6 I 2.81
Pt: 0.5000 0.5000 0.0000  6 I 2.81
Pt: 0.5000 0.5000 0.5000  6 I 2.81
Pt: 0.6250 0.3750 0.2500  4 I 2.70
Pt: 0.6250 0.7500 0.3750  4 I 2.70
Pt: 0.7500 0.3750 0.6250  4 I 2.70
Pt: 0.7500 0.8750 0.1250  4 I 2.70
Pt: 0.8750 0.1250 0.7500  4 I 2.70
Pt: 0.8750 0.2500 0.1250  4 I 2.70
I: 0.0029 0.1830 0.0996  2 Pt 2.70-2.81
I: 0.0029 0.3199 0.9033  2 Pt 2.70-2.81
I: 0.0834 0.6830 0.6801  2 Pt 2.70-2.81
I: 0.0834 0.9004 0.4033  2 Pt 2.70-2.81
I: 0.0967 0.5996 0.4166  2 Pt 2.70-2.81
I: 0.0967 0.9971 0.6801  2 Pt 2.70-2.81
I: 0.0996 0.0029 0.1830  2 Pt 2.70-2.81
I: 0.0996 0.5967 0.9166  2 Pt 2.70-2.81
I: 0.1801 0.1830 0.5834  2 Pt 2.70-2.81
I: 0.1801 0.4971 0.5967  2 Pt 2.70-2.81
I: 0.1830 0.0996 0.0029  2 Pt 2.70-2.81
I: 0.1830 0.5834 0.1801  2 Pt 2.70-2.81
I: 0.3170 0.3199 0.9166  2 Pt 2.70-2.81
I: 0.3170 0.4971 0.4004  2 Pt 2.70-2.81
I: 0.3199 0.9033 0.0029  2 Pt 2.70-2.81
I: 0.3199 0.9166 0.3170  2 Pt 2.70-2.81
I: 0.4004 0.3170 0.4971  2 Pt 2.70-2.81
I: 0.4004 0.5834 0.9033  2 Pt 2.70-2.81
I: 0.4033 0.0834 0.9004  2 Pt 2.70-2.81
I: 0.4033 0.8199 0.5029  2 Pt 2.70-2.81
I: 0.4166 0.0967 0.5996  2 Pt 2.70-2.81
I: 0.4166 0.8199 0.8170  2 Pt 2.70-2.81
I: 0.4971 0.4004 0.3170  2 Pt 2.70-2.81
I: 0.4971 0.5967 0.1801  2 Pt 2.70-2.81
I: 0.5029 0.4033 0.8199  2 Pt 2.70-2.81
I: 0.5029 0.5996 0.6830  2 Pt 2.70-2.81
I: 0.5834 0.1801 0.1830  2 Pt 2.70-2.81
I: 0.5834 0.9033 0.4004  2 Pt 2.70-2.81
I: 0.5967 0.1801 0.4971  2 Pt 2.70-2.81
I: 0.5967 0.9166 0.0996  2 Pt 2.70-2.81
I: 0.5996 0.4166 0.0967  2 Pt 2.70-2.81
I: 0.5996 0.6830 0.5029  2 Pt 2.70-2.81
I: 0.6801 0.0834 0.6830  2 Pt 2.70-2.81
I: 0.6801 0.0967 0.9971  2 Pt 2.70-2.81
I: 0.6830 0.5029 0.5996  2 Pt 2.70-2.81
I: 0.6830 0.6801 0.0834  2 Pt 2.70-2.81
I: 0.8170 0.4166 0.8199  2 Pt 2.70-2.81
I: 0.8170 0.9004 0.9971  2 Pt 2.70-2.81
I: 0.8199 0.5029 0.4033  2 Pt 2.70-2.81
I: 0.8199 0.8170 0.4166  2 Pt 2.70-2.81
I: 0.9004 0.4033 0.0834  2 Pt 2.70-2.81
I: 0.9004 0.9971 0.8170  2 Pt 2.70-2.81
I: 0.9033 0.0029 0.3199  2 Pt 2.70-2.81
I: 0.9033 0.4004 0.5834  2 Pt 2.70-2.81
I: 0.9166 0.0996 0.5967  2 Pt 2.70-2.81
I: 0.9166 0.3170 0.3199  2 Pt 2.70-2.81
I: 0.9971 0.6801 0.0967  2 Pt 2.70-2.81
I: 0.9971 0.8170 0.9004  2 Pt 2.70-2.81

[5]
This record from the Alexandria database describes an optimized crystal structure of CsRb2PtI6. The functional is PBE.

Computed properties:
Uncorrected formation energy ... -829 meV per atom
Space-group type ... No. 139
Size of the total moment ... 1.0 μB/cell

Cell: 9.0439 9.0439 9.0439 Å, 121.73 121.73 87.03°
Last column: nearest neighbours and their distance in Å.
Positions (direct):
Cs: 0.0000 0.0000 0.0000  6 I 3.55-3.59
Rb: 0.2500 0.7500 0.5000  12 I 4.41-4.54
Rb: 0.7500 0.2500 0.5000  12 I 4.41-4.54
Pt: 0.5000 0.5000 0.0000  6 I 2.68-2.97
I: 0.2735 0.2735 0.0000  1 Pt 2.97
I: 0.2850 0.2850 0.5700  1 Pt 2.68
I: 0.2850 0.7150 0.0000  1 Pt 2.68
I: 0.7150 0.2850 0.0000  1 Pt 2.68
I: 0.7150 0.7150 0.4300  1 Pt 2.68
I: 0.7265 0.7265 0.0000  1 Pt 2.97

[6]
This record from the Alexandria database describes an optimized crystal structure of Cs2RbPtI6. The functional is PBE.

Computed properties:
Uncorrected formation energy ... -916 meV per atom
Polymorph energy (0 for the lowest one) ... 0.0 meV per atom
Space-group type ... No. 166
Size of the total moment ... 0.0 μB/cell

Cell: 18.2208 18.2208 18.2208 Å, 26.07 26.07 26.07°
Last column: nearest neighbours and their distance in Å.
Positions (direct):
Cs: 0.1390 0.1390 0.1390  9 I 3.92-4.11
Cs: 0.3073 0.3073 0.3073  9 I 3.89-4.12
Cs: 0.6927 0.6927 0.6927  9 I 3.89-4.12
Cs: 0.8610 0.8610 0.8610  9 I 3.92-4.11
Rb: 0.4164 0.4164 0.4164  6 I 3.63-3.71
Rb: 0.5836 0.5836 0.5836  6 I 3.63-3.71
Pt: 0.0000 0.0000 0.0000  6 I 2.78
Pt: 0.5000 0.5000 0.5000  6 I 2.79
I: 0.1480 0.6306 0.6306  1 Pt 2.79
I: 0.1897 0.1897 0.7126  1 Pt 2.78
I: 0.1897 0.7126 0.1897  1 Pt 2.78
I: 0.2874 0.8103 0.8103  1 Pt 2.78
I: 0.3694 0.3694 0.8520  1 Pt 2.79
I: 0.3694 0.8520 0.3694  1 Pt 2.79
I: 0.6306 0.1480 0.6306  1 Pt 2.79
I: 0.6306 0.6306 0.1480  1 Pt 2.79
I: 0.7126 0.1897 0.1897  1 Pt 2.78
I: 0.8103 0.2874 0.8103  1 Pt 2.78
I: 0.8103 0.8103 0.2874  1 Pt 2.78
I: 0.8520 0.3694 0.3694  1 Pt 2.79